Material: YMgPt3
Method: DFT, meta-GGA SCAN
State: single point on PBEsol structure

Summary:
**Electronic total energy**: -48.931 eV/atom
**Crystal system**: cubic
**ΔE_f**: -0.252 eV/atom

Unit cell a=4.6068 b=4.6068 c=4.6068 alpha=90.00 beta=90.00 gamma=90.00
With the nearest neighbours (Å) after each atom.
Fractional coordinates of all 5 atoms:
Pt 0.0000 0.5000 0.0000  2 Mg 2.30
Pt 0.5000 0.0000 0.0000  2 Mg 2.30
Pt 0.0000 0.0000 0.5000  2 Mg 2.30
Y 0.5000 0.5000 0.5000  12 Pt 3.26
Mg 0.0000 0.0000 0.0000  6 Pt 2.30

***

Material: Zr2AlW
Method: DFT, meta-GGA SCAN
State: single point on PBEsol structure

Summary:
**Electronic total energy**: -34.532 eV/atom
**Crystal system**: trigonal
**ΔE_f**: 0.178 eV/atom

Unit cell a=2.9063 b=2.9063 c=10.2793 alpha=81.87 beta=81.87 gamma=60.00
With the nearest neighbours (Å) after each atom.
Fractional coordinates of all 4 atoms:
Al 0.5000 0.5000 0.5000  6 Al 2.91, 6 Zr 3.00
Zr 0.2486 0.2486 0.2542  6 Zr 2.91, 3 Al 3.00, 3 W 3.08
Zr 0.7514 0.7514 0.7458  6 Zr 2.91, 3 Al 3.00, 3 W 3.08
W 0.0000 0.0000 0.0000  6 W 2.91, 6 Zr 3.08

***

Material: FeTc5
Method: DFT, meta-GGA SCAN
State: single point on PBEsol structure

Summary:
**Electronic total energy**: -32.158 eV/atom
**Crystal system**: orthorhombic
**ΔE_f**: 0.081 eV/atom
**Excess energy over the best structure of this formula in the dataset**: 0.000 eV per atom

Unit cell a=3.7703 b=3.7629 c=5.9610 alpha=90.00 beta=108.44 gamma=90.00
With the nearest neighbours (Å) after each atom.
Fractional coordinates of all 6 atoms:
Tc 0.1611 0.0000 0.3223  10 Tc 2.62-2.76, 2 Fe 2.62
Tc 0.6619 0.5000 0.3239  2 Fe 2.63, 10 Tc 2.63-2.75
Tc 0.3381 0.5000 0.6761  2 Fe 2.63, 10 Tc 2.63-2.75
Tc 0.0000 0.5000 0.0000  8 Tc 2.62-2.63, 4 Fe 2.66
Tc 0.8389 0.0000 0.6777  10 Tc 2.62-2.76, 2 Fe 2.62
Fe 0.5000 0.0000 0.0000  12 Tc 2.62-2.66

***

Material: KZrFe
Method: DFT, meta-GGA SCAN
State: single point on PBEsol structure

Summary:
**Electronic total energy**: -17.582 eV/atom
**Crystal system**: cubic
**ΔE_f**: 1.470 eV/atom

Unit cell a=4.6044 b=4.6044 c=4.6044 alpha=60.00 beta=60.00 gamma=60.00
With the nearest neighbours (Å) after each atom.
Fractional coordinates of all 3 atoms:
K 0.0000 0.0000 0.0000  4 Fe 2.82
Zr 0.5000 0.5000 0.5000  4 Fe 2.82
Fe 0.2500 0.2500 0.2500  4 Zr 2.82, 4 K 2.82

***

- ΔE_f of number 3 (FeTc5)?
  0.081 eV/atom